# 1
A geometry-optimized Sm6Dy8Mg structure, computed with PBE.

Energy of formation from the pure elements in meV/atom: 131
Crystal system: trigonal

abc: 9.449 9.449 6.309
angles: 90.00 90.00 120.00
Fractional coordinates of all 15 atoms:
Sm: 0.090 0.450 0.315
Sm: 0.361 0.910 0.315
Sm: 0.450 0.361 0.685
Sm: 0.550 0.639 0.315
Sm: 0.639 0.090 0.685
Sm: 0.910 0.550 0.685
Dy: 0.038 0.266 0.813
Dy: 0.228 0.962 0.813
Dy: 0.266 0.228 0.187
Dy: 0.333 0.667 0.830
Dy: 0.667 0.333 0.170
Dy: 0.734 0.772 0.813
Dy: 0.772 0.038 0.187
Dy: 0.962 0.734 0.187
Mg: 0.000 0.000 0.500

=====

# 2
A geometry-optimized Sm2Dy2Mg structure, computed with PBE.

Energy of formation from the pure elements in meV/atom: -21
Crystal system: tetragonal
Excess energy over the best structure of this formula in the dataset in meV/atom: 0.0

abc: 12.118 12.118 12.118
angles: 162.87 162.87 24.32
Fractional coordinates of all 5 atoms:
Sm: 0.094 0.094 0.000
Sm: 0.906 0.906 0.000
Dy: 0.302 0.302 0.000
Dy: 0.698 0.698 0.000
Mg: 0.500 0.500 0.000

=====

# 3
A geometry-optimized SmDyMg6 structure, computed with PBE.

Energy of formation from the pure elements in meV/atom: -78
Crystal system: orthorhombic

abc: 5.196 6.722 6.722
angles: 60.06 90.00 90.00
Fractional coordinates of all 8 atoms:
Sm: 0.000 0.000 0.000
Dy: 0.500 0.668 0.668
Mg: 0.000 0.006 0.497
Mg: 0.000 0.497 0.006
Mg: 0.000 0.498 0.498
Mg: 0.500 0.171 0.171
Mg: 0.500 0.172 0.658
Mg: 0.500 0.658 0.172

=====

# 4
A geometry-optimized Sm2Dy3Mg structure, computed with PBE.

Energy of formation from the pure elements in meV/atom: 134
Crystal system: monoclinic
Excess energy over the best structure of this formula in the dataset in meV/atom: 0.0

abc: 7.597 7.597 6.784
angles: 94.24 94.24 99.10
Fractional coordinates of all 12 atoms:
Sm: 0.070 0.604 0.807
Sm: 0.396 0.930 0.693
Sm: 0.604 0.070 0.307
Sm: 0.930 0.396 0.193
Dy: 0.050 0.950 0.250
Dy: 0.289 0.330 0.515
Dy: 0.330 0.289 0.015
Dy: 0.670 0.711 0.985
Dy: 0.711 0.670 0.485
Dy: 0.950 0.050 0.750
Mg: 0.322 0.678 0.250
Mg: 0.678 0.322 0.750

=====

# 5
A geometry-optimized SmDyMg4 structure, computed with PBE.

Energy of formation from the pure elements in meV/atom: -46
Crystal system: monoclinic
Excess energy over the best structure of this formula in the dataset in meV/atom: 33.9

abc: 7.139 7.139 6.803
angles: 103.82 103.82 28.04
Fractional coordinates of all 6 atoms:
Sm: 0.000 0.000 0.000
Dy: 0.000 0.000 0.500
Mg: 0.323 0.323 0.165
Mg: 0.325 0.325 0.660
Mg: 0.675 0.675 0.340
Mg: 0.677 0.677 0.835

=====

# 6
A geometry-optimized Sm6Dy12Mg structure, computed with PBE.

Energy of formation from the pure elements in meV/atom: 135
Crystal system: trigonal
Excess energy over the best structure of this formula in the dataset in meV/atom: 5.4

abc: 8.652 8.652 8.652
angles: 97.29 97.29 97.29
Fractional coordinates of all 19 atoms:
Sm: 0.092 0.365 0.365
Sm: 0.365 0.092 0.365
Sm: 0.365 0.365 0.092
Sm: 0.635 0.635 0.908
Sm: 0.635 0.908 0.635
Sm: 0.908 0.635 0.635
Dy: 0.089 0.089 0.667
Dy: 0.089 0.667 0.089
Dy: 0.238 0.500 0.762
Dy: 0.238 0.762 0.500
Dy: 0.333 0.911 0.911
Dy: 0.500 0.238 0.762
Dy: 0.500 0.762 0.238
Dy: 0.667 0.089 0.089
Dy: 0.762 0.238 0.500
Dy: 0.762 0.500 0.238
Dy: 0.911 0.333 0.911
Dy: 0.911 0.911 0.333
Mg: 0.500 0.500 0.500

=====

# 7
A geometry-optimized SmDy8Mg2 structure, computed with PBE.

Energy of formation from the pure elements in meV/atom: 144
Crystal system: monoclinic
Excess energy over the best structure of this formula in the dataset in meV/atom: 125.9

abc: 8.874 8.874 5.663
angles: 102.29 102.29 121.09
Fractional coordinates of all 11 atoms:
Sm: 0.000 0.000 0.000
Dy: 0.097 0.321 0.631
Dy: 0.214 0.786 0.000
Dy: 0.321 0.097 0.631
Dy: 0.408 0.408 0.204
Dy: 0.592 0.592 0.796
Dy: 0.679 0.903 0.369
Dy: 0.786 0.214 0.000
Dy: 0.903 0.679 0.369
Mg: 0.307 0.693 0.500
Mg: 0.693 0.307 0.500

=====

# 8
A geometry-optimized SmDy4Mg structure, computed with PBE.

Energy of formation from the pure elements in meV/atom: -12
Crystal system: tetragonal
Excess energy over the best structure of this formula in the dataset in meV/atom: 0.0

abc: 3.579 3.579 14.296
angles: 90.00 90.00 90.00
Fractional coordinates of all 6 atoms:
Sm: 0.000 0.000 0.000
Dy: 0.000 0.000 0.348
Dy: 0.000 0.000 0.652
Dy: 0.500 0.500 0.178
Dy: 0.500 0.500 0.822
Mg: 0.500 0.500 0.500

=====

# 9
A geometry-optimized Sm2Dy8Mg structure, computed with PBE.

Energy of formation from the pure elements in meV/atom: 144
Crystal system: monoclinic
Excess energy over the best structure of this formula in the dataset in meV/atom: 36.4

abc: 8.762 8.762 6.678
angles: 100.89 100.89 44.34
Fractional coordinates of all 11 atoms:
Sm: 0.186 0.186 0.293
Sm: 0.814 0.814 0.707
Dy: 0.180 0.658 0.113
Dy: 0.245 0.245 0.813
Dy: 0.342 0.820 0.887
Dy: 0.406 0.406 0.583
Dy: 0.594 0.594 0.417
Dy: 0.658 0.180 0.113
Dy: 0.755 0.755 0.187
Dy: 0.820 0.342 0.887
Mg: 0.000 0.000 0.500

=====

# 10
A geometry-optimized Sm15Dy4Mg structure, computed with PBE.

Energy of formation from the pure elements in meV/atom: 13
Crystal system: tetragonal

abc: 5.076 5.076 25.451
angles: 90.00 90.00 90.00
Fractional coordinates of all 20 atoms:
Sm: 0.000 0.000 0.000
Sm: 0.000 0.000 0.197
Sm: 0.000 0.000 0.399
Sm: 0.000 0.000 0.601
Sm: 0.000 0.000 0.803
Sm: 0.000 0.500 0.098
Sm: 0.000 0.500 0.299
Sm: 0.000 0.500 0.500
Sm: 0.000 0.500 0.701
Sm: 0.000 0.500 0.902
Sm: 0.500 0.000 0.098
Sm: 0.500 0.000 0.299
Sm: 0.500 0.000 0.500
Sm: 0.500 0.000 0.701
Sm: 0.500 0.000 0.902
Dy: 0.500 0.500 0.198
Dy: 0.500 0.500 0.399
Dy: 0.500 0.500 0.601
Dy: 0.500 0.500 0.802
Mg: 0.500 0.500 0.000

=====

# 11
A geometry-optimized SmDy2Mg4 structure, computed with PBE.

Energy of formation from the pure elements in meV/atom: 368
Crystal system: orthorhombic
Excess energy over the best structure of this formula in the dataset in meV/atom: 231.6

abc: 7.130 7.130 5.490
angles: 90.00 90.00 130.34
Fractional coordinates of all 7 atoms:
Sm: 0.000 0.000 0.000
Dy: 0.367 0.633 0.500
Dy: 0.633 0.367 0.500
Mg: 0.120 0.880 0.500
Mg: 0.247 0.753 0.000
Mg: 0.753 0.247 0.000
Mg: 0.880 0.120 0.500

=====

# 12
A geometry-optimized SmDy4Mg structure, computed with PBE.

Energy of formation from the pure elements in meV/atom: 88
Crystal system: monoclinic
Excess energy over the best structure of this formula in the dataset in meV/atom: 100.0

abc: 8.460 8.460 6.298
angles: 99.86 99.86 118.33
Fractional coordinates of all 12 atoms:
Sm: 0.085 0.915 0.750
Sm: 0.915 0.085 0.250
Dy: 0.085 0.341 0.880
Dy: 0.210 0.597 0.459
Dy: 0.341 0.085 0.380
Dy: 0.403 0.790 0.041
Dy: 0.597 0.210 0.959
Dy: 0.659 0.915 0.620
Dy: 0.790 0.403 0.541
Dy: 0.915 0.659 0.120
Mg: 0.499 0.501 0.750
Mg: 0.501 0.499 0.250

=====

# 13
A geometry-optimized Sm12Dy6Mg structure, computed with PBE.

Energy of formation from the pure elements in meV/atom: 133
Crystal system: trigonal
Excess energy over the best structure of this formula in the dataset in meV/atom: 6.9

abc: 8.692 8.692 8.692
angles: 97.24 97.24 97.24
Fractional coordinates of all 19 atoms:
Sm: 0.001 0.739 0.261
Sm: 0.170 0.581 0.582
Sm: 0.261 0.001 0.739
Sm: 0.261 0.739 0.999
Sm: 0.418 0.830 0.419
Sm: 0.419 0.418 0.830
Sm: 0.581 0.582 0.170
Sm: 0.582 0.170 0.581
Sm: 0.739 0.261 0.001
Sm: 0.739 0.999 0.261
Sm: 0.830 0.419 0.418
Sm: 0.999 0.261 0.739
Dy: 0.135 0.136 0.407
Dy: 0.136 0.407 0.135
Dy: 0.407 0.135 0.136
Dy: 0.593 0.865 0.864
Dy: 0.864 0.593 0.865
Dy: 0.865 0.864 0.593
Mg: 0.000 0.000 0.000

=====

# 14
A geometry-optimized Sm4Dy4Mg structure, computed with PBE.

Energy of formation from the pure elements in meV/atom: 68
Crystal system: monoclinic
Excess energy over the best structure of this formula in the dataset in meV/atom: 49.4

abc: 9.204 9.204 10.645
angles: 92.73 92.73 140.23
Fractional coordinates of all 18 atoms:
Sm: 0.134 0.851 0.667
Sm: 0.143 0.857 0.000
Sm: 0.149 0.866 0.333
Sm: 0.316 0.684 0.500
Sm: 0.684 0.316 0.500
Sm: 0.851 0.134 0.667
Sm: 0.857 0.143 0.000
Sm: 0.866 0.149 0.333
Dy: 0.274 0.274 0.884
Dy: 0.278 0.278 0.558
Dy: 0.312 0.677 0.834
Dy: 0.323 0.688 0.166
Dy: 0.677 0.312 0.834
Dy: 0.688 0.323 0.166
Dy: 0.722 0.722 0.442
Dy: 0.726 0.726 0.116
Mg: 0.263 0.263 0.216
Mg: 0.737 0.737 0.784

=====

# 15
A geometry-optimized Sm8Dy3Mg structure, computed with PBE.

Energy of formation from the pure elements in meV/atom: 558
Crystal system: tetragonal

abc: 8.368 8.368 8.368
angles: 117.72 117.72 94.01
Fractional coordinates of all 12 atoms:
Sm: 0.125 0.125 0.746
Sm: 0.242 0.742 0.000
Sm: 0.258 0.258 0.500
Sm: 0.379 0.379 0.254
Sm: 0.621 0.875 0.000
Sm: 0.742 0.242 0.000
Sm: 0.758 0.758 0.500
Sm: 0.875 0.621 0.000
Dy: 0.250 0.750 0.500
Dy: 0.500 0.500 0.000
Dy: 0.750 0.250 0.500
Mg: 0.000 0.000 0.000

=====

# 16
A geometry-optimized Sm3Dy4Mg2 structure, computed with PBE.

Energy of formation from the pure elements in meV/atom: 9
Crystal system: monoclinic

abc: 7.856 7.856 7.890
angles: 107.65 107.65 36.72
Fractional coordinates of all 9 atoms:
Sm: 0.000 0.000 0.000
Sm: 0.112 0.112 0.665
Sm: 0.888 0.888 0.335
Dy: 0.221 0.221 0.330
Dy: 0.444 0.444 0.667
Dy: 0.556 0.556 0.333
Dy: 0.779 0.779 0.670
Mg: 0.331 0.331 0.000
Mg: 0.669 0.669 0.000

=====

# 17
A geometry-optimized Sm5DyMg4 structure, computed with PBE.

Energy of formation from the pure elements in meV/atom: -70
Crystal system: tetragonal

abc: 3.792 3.792 20.422
angles: 90.00 90.00 90.00
Fractional coordinates of all 10 atoms:
Sm: 0.000 0.000 0.000
Sm: 0.000 0.000 0.191
Sm: 0.000 0.000 0.383
Sm: 0.000 0.000 0.617
Sm: 0.000 0.000 0.809
Dy: 0.500 0.500 0.500
Mg: 0.500 0.500 0.096
Mg: 0.500 0.500 0.287
Mg: 0.500 0.500 0.713
Mg: 0.500 0.500 0.904

=====

# 18
A geometry-optimized Sm8Dy2Mg structure, computed with PBE.

Energy of formation from the pure elements in meV/atom: 389
Crystal system: monoclinic
Excess energy over the best structure of this formula in the dataset in meV/atom: 286.3

abc: 8.232 8.232 5.984
angles: 100.13 100.13 86.93
Fractional coordinates of all 11 atoms:
Sm: 0.079 0.079 0.290
Sm: 0.158 0.637 0.212
Sm: 0.229 0.229 0.906
Sm: 0.363 0.842 0.788
Sm: 0.637 0.158 0.212
Sm: 0.771 0.771 0.094
Sm: 0.842 0.363 0.788
Sm: 0.921 0.921 0.710
Dy: 0.365 0.365 0.508
Dy: 0.635 0.635 0.492
Mg: 0.500 0.500 0.000

=====

# 19
A geometry-optimized Sm5Dy4Mg structure, computed with PBE.

Energy of formation from the pure elements in meV/atom: 208
Crystal system: tetragonal
Excess energy over the best structure of this formula in the dataset in meV/atom: 121.4

abc: 8.054 8.054 8.054
angles: 97.55 97.55 137.49
Fractional coordinates of all 10 atoms:
Sm: 0.000 0.000 0.000
Sm: 0.098 0.098 0.628
Sm: 0.098 0.471 0.000
Sm: 0.471 0.098 0.000
Sm: 0.471 0.471 0.372
Dy: 0.117 0.795 0.322
Dy: 0.473 0.795 0.678
Dy: 0.795 0.117 0.322
Dy: 0.795 0.473 0.678
Mg: 0.525 0.525 0.000

=====

# 20
A geometry-optimized SmDyMg structure, computed with PBE.

Energy of formation from the pure elements in meV/atom: 39
Crystal system: trigonal
Excess energy over the best structure of this formula in the dataset in meV/atom: 85.4

abc: 5.475 5.475 3.415
angles: 90.00 90.00 120.00
Fractional coordinates of all 3 atoms:
Sm: 0.000 0.000 0.000
Dy: 0.333 0.667 0.431
Mg: 0.667 0.333 0.703

=====

# 21
A geometry-optimized Sm9DyMg2 structure, computed with PBE.

Energy of formation from the pure elements in meV/atom: 10
Crystal system: tetragonal

abc: 5.016 5.016 15.135
angles: 90.00 90.00 90.00
Fractional coordinates of all 12 atoms:
Sm: 0.000 0.000 0.000
Sm: 0.000 0.000 0.336
Sm: 0.000 0.000 0.664
Sm: 0.000 0.500 0.170
Sm: 0.000 0.500 0.500
Sm: 0.000 0.500 0.830
Sm: 0.500 0.000 0.170
Sm: 0.500 0.000 0.500
Sm: 0.500 0.000 0.830
Dy: 0.500 0.500 0.000
Mg: 0.500 0.500 0.337
Mg: 0.500 0.500 0.663